A geometry-optimized ErPuFe2O6 structure. Source: the Alexandria database, functional GGA+U.

Values from the calculation:
Total DFT energy (no corrections) in eV/cell: -167.26
N(E_F) in states/eV/atom: 0.753
Total magnetization in μB/atom: 1.100

```
ErPuFe2O6
1.0
5.582 0.000 -0.051
0.000 5.600 0.000
-0.023 0.000 8.251
Er Pu Fe O
2 2 4 12
direct
0.500 0.000 0.000
0.000 0.500 0.500
0.500 0.000 0.500
0.000 0.500 0.000
0.982 0.970 0.253
0.482 0.530 0.753
0.018 0.030 0.747
0.518 0.470 0.247
0.329 0.659 0.074
0.829 0.841 0.574
0.671 0.341 0.926
0.171 0.159 0.426
0.350 0.676 0.424
0.850 0.824 0.924
0.650 0.324 0.576
0.150 0.176 0.076
0.869 0.612 0.249
0.369 0.888 0.749
0.131 0.388 0.751
0.631 0.112 0.251
```